Entry 1:
PBE NdPd4Au4, optimized geometry; SG = P4_2/nmc; DFT formation energy = -0.181 eV/atom; crystal system = tetragonal
1.0
7.122 0.000 0.000
0.000 7.122 0.000
0.000 0.000 7.496
Nd Pd Au
2 8 8
direct
0.250 0.750 0.250
0.750 0.250 0.750
0.047 0.750 0.620
0.250 0.547 0.880
0.250 0.953 0.880
0.453 0.750 0.620
0.547 0.250 0.380
0.750 0.047 0.120
0.750 0.453 0.120
0.953 0.250 0.380
0.060 0.250 0.025
0.250 0.060 0.525
0.250 0.440 0.525
0.440 0.250 0.025
0.560 0.750 0.975
0.750 0.560 0.475
0.750 0.940 0.475
0.940 0.750 0.975

Entry 2:
PBE BiTePN2, optimized geometry; uncorrected formation energy = 6.84 eV per formula unit; SG = P4/mmm; energy above the most stable polymorph in this dataset = 0.000 eV per atom; crystal system = tetragonal
1.0
4.101 0.000 0.000
0.000 4.101 0.000
0.000 0.000 5.148
Bi Te P N
1 1 1 2
direct
0.000 0.000 0.000
0.500 0.500 0.000
0.500 0.500 0.500
0.000 0.500 0.500
0.500 0.000 0.500